# 1
{
  "formula": "BaHg6",
  "functional": "PBEsol",
  "state": "relaxed",
  "lattice_angstrom": [[5.188, 0.000, 0.000], [0.000, 10.518, 0.000], [0.000, 0.000, 13.290]],
  "species": ["Ba", "Ba", "Ba", "Ba", "Hg", "Hg", "Hg", "Hg", "Hg", "Hg", "Hg", "Hg", "Hg", "Hg", "Hg", "Hg", "Hg", "Hg", "Hg", "Hg", "Hg", "Hg", "Hg", "Hg", "Hg", "Hg", "Hg", "Hg"],
  "frac_coords": [[0.250, 0.372, 0.680], [0.250, 0.128, 0.180], [0.750, 0.872, 0.820], [0.750, 0.628, 0.320], [0.250, 0.736, 0.689], [0.750, 0.358, 0.097], [0.750, 0.264, 0.311], [0.250, 0.113, 0.865], [0.750, 0.633, 0.044], [0.750, 0.108, 0.006], [0.250, 0.491, 0.157], [0.250, 0.367, 0.956], [0.250, 0.642, 0.903], [0.250, 0.858, 0.403], [0.750, 0.867, 0.544], [0.750, 0.392, 0.506], [0.750, 0.613, 0.635], [0.750, 0.991, 0.343], [0.250, 0.892, 0.994], [0.250, 0.608, 0.494], [0.750, 0.236, 0.811], [0.250, 0.764, 0.189], [0.750, 0.142, 0.597], [0.750, 0.509, 0.843], [0.250, 0.387, 0.365], [0.250, 0.133, 0.456], [0.750, 0.887, 0.135], [0.250, 0.009, 0.657]],
  "space_group": "Pnma (62)"
}

# 2
{
  "formula": "Ba5Hg3",
  "functional": "PBEsol",
  "state": "relaxed",
  "lattice_angstrom": [[-4.493, 1.253, 5.748], [1.757, -9.280, 3.396], [5.860, 7.607, 2.923]],
  "species": ["Ba", "Ba", "Ba", "Ba", "Ba", "Ba", "Ba", "Ba", "Ba", "Ba", "Hg", "Hg", "Hg", "Hg", "Hg", "Hg"],
  "frac_coords": [[0.500, 0.667, 0.333], [0.000, 0.333, 0.667], [0.250, 0.737, 0.000], [0.750, 0.000, 0.263], [0.500, 0.333, 0.667], [0.750, 0.263, 0.000], [0.750, 0.737, 0.737], [0.250, 0.000, 0.737], [0.250, 0.263, 0.263], [0.000, 0.667, 0.333], [0.250, 0.000, 0.393], [0.250, 0.393, 0.000], [0.250, 0.607, 0.607], [0.750, 0.000, 0.607], [0.750, 0.607, 0.000], [0.750, 0.393, 0.393]],
  "space_group": "P6_3/mcm (193)"
}

# 3
{
  "formula": "Ba2Hg",
  "functional": "PBEsol",
  "state": "relaxed",
  "lattice_angstrom": [[-2.638, -3.386, -0.305], [6.405, -1.877, -4.211], [3.373, -3.219, 6.566]],
  "species": ["Ba", "Ba", "Ba", "Ba", "Hg", "Hg"],
  "frac_coords": [[0.285, 0.570, 0.906], [0.974, 0.947, 0.240], [0.026, 0.053, 0.740], [0.715, 0.430, 0.406], [0.385, 0.771, 0.522], [0.615, 0.229, 0.022]],
  "space_group": "Cmc2_1 (36)"
}

# 4
{
  "formula": "BaHg3",
  "functional": "PBEsol",
  "state": "relaxed",
  "lattice_angstrom": [[6.989, 0.000, 0.000], [-3.494, 6.052, 0.000], [0.000, 0.000, 10.966]],
  "species": ["Hg", "Hg", "Hg", "Hg", "Hg", "Hg", "Hg", "Hg", "Hg", "Hg", "Hg", "Hg", "Ba", "Ba", "Ba", "Ba"],
  "frac_coords": [[0.184, 0.368, 0.750], [0.632, 0.816, 0.750], [0.500, 0.000, 0.000], [0.000, 0.500, 0.500], [0.368, 0.184, 0.250], [0.184, 0.816, 0.750], [0.500, 0.500, 0.000], [0.500, 0.000, 0.500], [0.816, 0.184, 0.250], [0.816, 0.632, 0.250], [0.500, 0.500, 0.500], [0.000, 0.500, 0.000], [0.667, 0.333, 0.750], [0.000, 0.000, 0.000], [0.000, 0.000, 0.500], [0.333, 0.667, 0.250]],
  "space_group": "P6_3/mmc (194)"
}

no.,energy relative to the elements (eV/atom)
1,-0.326
2,-0.381
3,-0.362
4,-0.411